No. 1
KLiRe2P | PBE-GGA | relaxed

Lattice parameters (Å, degrees): 4.332 4.332 4.558 90.00 90.00 90.00
Space group P4/mmm (No. 123)
Inequivalent atoms, fractional coordinates:
K: 0.000 0.000 0.000 [1 per cell]
Li: 0.000 0.000 0.500 [1 per cell]
Re: 0.000 0.500 0.500 [2 per cell]
P: 0.500 0.500 0.000 [1 per cell]

## Properties
Its energy relative to the elements is 2030 meV/atom.

---

No. 2
KLiPS4 | PBE-GGA | relaxed

Lattice parameters (Å, degrees): 6.409 6.127 9.247 90.00 103.45 90.00
Space group P2_1/m (No. 11)
Inequivalent atoms, fractional coordinates:
K: 0.217 0.250 0.025 [2 per cell]
Li: 0.151 0.250 0.537 [2 per cell]
P: 0.236 0.750 0.298 [2 per cell]
S: 0.029 0.006 0.300 [4 per cell]
S: 0.351 0.750 0.114 [2 per cell]
S: 0.475 0.750 0.496 [2 per cell]

## Properties
As for the uncorrected formation energy: -687 meV per atom.

---

No. 3
K2LiP2S6 | PBE-GGA | relaxed

Lattice parameters (Å, degrees): 6.7987 6.7987 20.6836 90.00 90.00 120.00
Space group R-3m (No. 166, hexagonal axes)
Inequivalent atoms, fractional coordinates:
K: 0.0000 0.0000 0.2285 [6 per cell]
Li: 0.0000 0.0000 0.0000 [3 per cell]
P: 0.0000 0.0000 0.4451 [6 per cell]
S: 0.0000 0.5000 0.2454 [18 per cell]

## Properties
As for the uncorrected formation energy: -688 meV per atom.

---

No. 4
KLiP2S | PBE-GGA | relaxed

Lattice parameters (Å, degrees): 4.538 4.538 4.934 90.00 90.00 90.00
Space group P4/mmm (No. 123)
Inequivalent atoms, fractional coordinates:
K: 0.000 0.000 0.000 [1 per cell]
Li: 0.500 0.500 0.500 [1 per cell]
P: 0.000 0.500 0.500 [2 per cell]
S: 0.500 0.500 0.000 [1 per cell]

## Properties
As for the uncorrected formation energy: 297 meV per atom. As for the energy above the lowest structure with this stoichiometry: 0 meV per atom.

---

No. 5
KLiPS2 | PBE-GGA | relaxed

Lattice parameters (Å, degrees): 4.798 4.798 4.476 90.00 90.00 90.00
Space group P4/mmm (No. 123)
Inequivalent atoms, fractional coordinates:
K: 0.000 0.000 0.000 [1 per cell]
Li: 0.500 0.500 0.500 [1 per cell]
P: 0.500 0.500 0.000 [1 per cell]
S: 0.000 0.500 0.500 [2 per cell]

## Properties
As for the uncorrected formation energy: 105 meV per atom. As for the energy above the lowest structure with this stoichiometry: 640 meV per atom.

---

No. 6
KLiP2S | PBE-GGA | relaxed

Lattice parameters (Å, degrees): 5.526 5.526 5.575 90.00 90.00 90.00
Space group P4/mmm (No. 123)
Inequivalent atoms, fractional coordinates:
K: 0.000 0.000 0.000 [1 per cell]
Li: 0.500 0.500 0.500 [1 per cell]
P: 0.000 0.500 0.000 [2 per cell]
S: 0.000 0.000 0.500 [1 per cell]

## Properties
As for the uncorrected formation energy: 1309 meV per atom. As for the energy above the lowest structure with this stoichiometry: 1012 meV per atom.

---

No. 7
KLiPS2 | PBE-GGA | relaxed

Lattice parameters (Å, degrees): 4.973 14.057 6.224 90.00 90.00 90.00
Space group Cmme (No. 67)
Inequivalent atoms, fractional coordinates:
K: 0.000 0.250 0.247 [4 per cell]
Li: 0.250 0.000 0.500 [4 per cell]
P: 0.000 0.000 0.000 [4 per cell]
S: 0.000 0.109 0.729 [8 per cell]

## Properties
As for the uncorrected formation energy: -535 meV per atom. As for the energy above the lowest structure with this stoichiometry: 0 meV per atom.

---

No. 8
KLiPS2 | PBE-GGA | relaxed

Lattice parameters (Å, degrees): 5.788 5.788 6.017 90.00 90.00 90.00
Space group P4/mmm (No. 123)
Inequivalent atoms, fractional coordinates:
K: 0.000 0.000 0.000 [1 per cell]
Li: 0.500 0.500 0.500 [1 per cell]
P: 0.000 0.000 0.500 [1 per cell]
S: 0.000 0.500 0.000 [2 per cell]

## Properties
As for the uncorrected formation energy: 950 meV per atom. As for the energy above the lowest structure with this stoichiometry: 1485 meV per atom.

---

No. 9
KLiP2S6 | PBE-GGA | relaxed

Lattice parameters (Å, degrees): 12.678 14.897 5.860 90.00 101.59 90.00
Space group C2/c (No. 15)
Inequivalent atoms, fractional coordinates:
K: 0.000 0.131 0.250 [4 per cell]
Li: 0.000 0.412 0.750 [4 per cell]
P: 0.212 0.425 0.148 [8 per cell]
S: 0.125 0.319 0.024 [8 per cell]
S: 0.130 0.080 0.790 [8 per cell]
S: 0.144 0.457 0.453 [8 per cell]

## Properties
As for the uncorrected formation energy: -582 meV per atom.

---

No. 10
KLi2PSe4 | PBE-GGA | relaxed

Lattice parameters (Å, degrees): 6.890 6.890 8.603 90.00 90.00 90.00
Space group I-42m (No. 121)
Inequivalent atoms, fractional coordinates:
K: 0.000 0.000 0.000 [2 per cell]
Li: 0.000 0.500 0.250 [4 per cell]
P: 0.000 0.000 0.500 [2 per cell]
Se: 0.188 0.188 0.649 [8 per cell]

## Properties
As for the uncorrected formation energy: -827 meV per atom.

---

No. 11
K2LiPSe4 | PBE-GGA | relaxed

Lattice parameters (Å, degrees): 6.040 13.416 24.735 90.00 90.00 90.00
Space group Fddd (No. 70, origin choice 2)
Inequivalent atoms, fractional coordinates:
K: 0.125 0.125 0.311 [16 per cell]
Li: 0.125 0.125 0.125 [8 per cell]
P: 0.125 0.125 0.625 [8 per cell]
Se: 0.083 0.277 0.823 [32 per cell]

## Properties
As for the uncorrected formation energy: -817 meV per atom.

---

No. 12
KLiPSe4 | PBE-GGA | relaxed

Lattice parameters (Å, degrees): 6.715 6.446 9.732 90.00 103.98 90.00
Space group P2_1/m (No. 11)
Inequivalent atoms, fractional coordinates:
K: 0.206 0.250 0.023 [2 per cell]
Li: 0.143 0.250 0.538 [2 per cell]
P: 0.240 0.750 0.297 [2 per cell]
Se: 0.021 0.011 0.296 [4 per cell]
Se: 0.351 0.750 0.104 [2 per cell]
Se: 0.488 0.750 0.502 [2 per cell]

## Properties
As for the uncorrected formation energy: -588 meV per atom.

---

No. 13
KSr2LiP | PBE-GGA | relaxed

Lattice parameters (Å, degrees): 6.088 6.088 5.281 90.00 90.00 90.00
Space group P4/mmm (No. 123)
Inequivalent atoms, fractional coordinates:
K: 0.000 0.000 0.000 [1 per cell]
Sr: 0.000 0.500 0.500 [2 per cell]
Li: 0.500 0.500 0.000 [1 per cell]
P: 0.500 0.500 0.500 [1 per cell]

## Properties
Its energy relative to the elements is -330 meV/atom.

---

No. 14
KLiTaP2 | PBE-GGA | relaxed

Lattice parameters (Å, degrees): 5.047 5.047 3.804 90.00 90.00 90.00
Space group P4/mmm (No. 123)
Inequivalent atoms, fractional coordinates:
K: 0.000 0.000 0.000 [1 per cell]
Li: 0.000 0.000 0.500 [1 per cell]
Ta: 0.500 0.500 0.500 [1 per cell]
P: 0.000 0.500 0.000 [2 per cell]

## Properties
Its energy relative to the elements is 1537 meV/atom.

---

No. 15
KLi2TcP | PBE-GGA | relaxed

Lattice parameters (Å, degrees): 5.085 5.085 4.541 90.00 90.00 90.00
Space group P4/mmm (No. 123)
Inequivalent atoms, fractional coordinates:
K: 0.000 0.000 0.000 [1 per cell]
Li: 0.000 0.500 0.500 [2 per cell]
Tc: 0.500 0.500 0.500 [1 per cell]
P: 0.500 0.500 0.000 [1 per cell]

## Properties
Its energy relative to the elements is 145 meV/atom.

---

No. 16
K2LiPaS4 | PBE-GGA | relaxed

Lattice parameters (Å, degrees): 6.775 4.148 7.626 90.00 107.32 90.00
Space group P2/m (No. 10)
Inequivalent atoms, fractional coordinates:
K: 0.000 0.000 0.000 [1 per cell]
K: 0.500 0.500 0.000 [1 per cell]
Li: 0.000 0.500 0.500 [1 per cell]
Pa: 0.500 0.000 0.500 [1 per cell]
S: 0.256 0.000 0.699 [2 per cell]
S: 0.275 0.500 0.305 [2 per cell]

## Properties
As for the uncorrected formation energy: -1473 meV per atom.

---

No. 17
KLiPa2S6 | PBE-GGA | relaxed

Lattice parameters (Å, degrees): 7.0640 7.0640 18.2885 90.00 90.00 120.00
Space group R3 (No. 146, hexagonal axes)
Inequivalent atoms, fractional coordinates:
K: 0.0000 0.0000 0.0000 [3 per cell]
Li: 0.0000 0.0000 0.4422 [3 per cell]
Pa: 0.0000 0.0000 0.2507 [3 per cell]
Pa: 0.0000 0.0000 0.7606 [3 per cell]
S: 0.0008 0.3751 0.5061 [9 per cell]
S: 0.0083 0.5639 0.0092 [9 per cell]

## Properties
As for the uncorrected formation energy: -1481 meV per atom.

---

No. 18
KLi3Pa2S6 | PBE-GGA | relaxed

Lattice parameters (Å, degrees): 15.981 4.016 9.233 90.00 99.45 90.00
Space group C2/m (No. 12)
Inequivalent atoms, fractional coordinates:
K: 0.000 0.000 0.000 [2 per cell]
Li: 0.000 0.000 0.500 [2 per cell]
Li: 0.151 0.500 0.722 [4 per cell]
Pa: 0.166 0.500 0.339 [4 per cell]
S: 0.002 0.500 0.281 [4 per cell]
S: 0.162 0.000 0.551 [4 per cell]
S: 0.196 0.000 0.162 [4 per cell]

## Properties
As for the uncorrected formation energy: -1452 meV per atom.

---

No. 19
KLiPaS3 | PBE-GGA | relaxed

Lattice parameters (Å, degrees): 8.883 4.078 9.066 90.00 106.22 90.00
Space group P2_1/m (No. 11)
Inequivalent atoms, fractional coordinates:
K: 0.204 0.250 0.250 [2 per cell]
Li: 0.078 0.250 0.593 [2 per cell]
Pa: 0.326 0.750 0.843 [2 per cell]
S: 0.132 0.250 0.870 [2 per cell]
S: 0.200 0.750 0.541 [2 per cell]
S: 0.463 0.750 0.158 [2 per cell]

## Properties
As for the uncorrected formation energy: -1513 meV per atom.

---

No. 20
K3LiPa3S8 | PBE-GGA | relaxed

Lattice parameters (Å, degrees): 8.0582 8.0582 22.3209 90.00 90.00 120.00
Space group R-3m (No. 166, hexagonal axes)
Inequivalent atoms, fractional coordinates:
K: 0.0000 0.5000 0.0000 [9 per cell]
Li: 0.0000 0.0000 0.5000 [3 per cell]
Pa: 0.0000 0.5000 0.5000 [9 per cell]
S: 0.0000 0.0000 0.2350 [6 per cell]
S: 0.0099 0.5049 0.7688 [18 per cell]

## Properties
As for the uncorrected formation energy: -1513 meV per atom.

---

No. 21
KLiPaS4 | PBE-GGA | relaxed

Lattice parameters (Å, degrees): 6.931 5.407 9.360 90.00 109.71 90.00
Space group P2_1/m (No. 11)
Inequivalent atoms, fractional coordinates:
K: 0.227 0.250 0.459 [2 per cell]
Li: 0.261 0.750 0.192 [2 per cell]
Pa: 0.229 0.250 0.938 [2 per cell]
S: 0.040 0.750 0.328 [2 per cell]
S: 0.070 0.750 0.929 [2 per cell]
S: 0.472 0.518 0.809 [4 per cell]

## Properties
As for the uncorrected formation energy: -1333 meV per atom.

---

No. 22
KLi3Pa4S12 | PBE-GGA | relaxed

Lattice parameters (Å, degrees): 9.937 9.937 9.937 90.00 90.00 90.00
Space group Im-3 (No. 204)
Inequivalent atoms, fractional coordinates:
K: 0.000 0.000 0.000 [2 per cell]
Li: 0.000 0.000 0.500 [6 per cell]
Pa: 0.250 0.250 0.250 [8 per cell]
S: 0.000 0.179 0.307 [24 per cell]

## Properties
As for the uncorrected formation energy: -1468 meV per atom.

---

Number 1: total moment 0.01 μB per formula unit. Number 2: total moment 0.00 μB per formula unit. Number 3: total moment 0.00 μB per formula unit. Number 4: total moment 0.00 μB per formula unit. Number 5: total moment 0.00 μB per formula unit. Number 6: total moment 1.93 μB per formula unit. Number 7: total moment 0.29 μB per formula unit. Number 8: total moment 5.04 μB per formula unit. Number 9: total moment 0.00 μB per formula unit. Number 10: total moment 0.00 μB per formula unit. Number 11: total moment 0.00 μB per formula unit. Number 12: total moment 0.00 μB per formula unit. Number 13: total moment 0.44 μB per formula unit. Number 14: total moment 0.00 μB per formula unit. Number 15: total moment 0.60 μB per formula unit. Number 16: total moment 0.00 μB per formula unit. Number 17: total moment 0.00 μB per formula unit. Number 18: total moment 2.02 μB per formula unit. Number 19: total moment 1.01 μB per formula unit. Number 20: total moment 3.01 μB per formula unit. Number 21: total moment 0.00 μB per formula unit. Number 22: total moment 0.00 μB per formula unit.